The following is a DFT calculation (PBE+U) of an optimized crystal structure of PmNpMnO6.

calculated volume: 14.5 Å³/atom
electronic total energy: -8.61 eV/atom

Cell: 5.8313 5.8313 8.8507 Å, 90.00 90.00 120.00°
Closest atoms and distances in Å follow each position.
Sites, in units of the cell vectors:
Pm 0.3333 0.6667 0.2500  6 O 2.35
Pm 0.6667 0.3333 0.7500  6 O 2.35
Np 0.3333 0.6667 0.7500  6 O 2.03
Np 0.6667 0.3333 0.2500  6 O 2.03
Mn 0.0000 0.0000 0.0000  6 O 2.32
Mn 0.0000 0.0000 0.5000  6 O 2.32
O 0.0412 0.3645 0.6298  1 Np 2.03
O 0.0412 0.6767 0.8702  1 Np 2.03
O 0.3233 0.3645 0.8702  1 Np 2.03
O 0.3233 0.9588 0.6298  1 Np 2.03
O 0.3645 0.0412 0.1298  1 Np 2.03
O 0.3645 0.3233 0.3702  1 Np 2.03
O 0.6355 0.6767 0.6298  1 Np 2.03
O 0.6355 0.9588 0.8702  1 Np 2.03
O 0.6767 0.0412 0.3702  1 Np 2.03
O 0.6767 0.6355 0.1298  1 Np 2.03
O 0.9588 0.3233 0.1298  1 Np 2.03
O 0.9588 0.6355 0.3702  1 Np 2.03